# 1
Compound: NaBS2O8
Source: the Alexandria database
Functional: GGA-PBE
Structure: relaxed

Computed properties:
Density of states at the Fermi level (states/eV/cell): 0.00
Uncorrected formation energy (eV per atom): -1.46
Total magnetic moment (μB per cell): 0.0
Raw total energy (eV per atom): -6.12
ΔE to the lowest computed polymorph (meV per atom): 181

abc: 5.1128 5.1128 8.0375
angles: 105.07 105.07 70.63
Closest atoms and distances in Å follow each position.
Sites, in units of the cell vectors:
Na (0.0000, 0.0000, 0.0000)  6 O 2.30-2.49
B (0.0000, 0.0000, 0.5000)  2 O 1.27
S (0.3254, 0.3254, 0.7813)  3 O 1.44
S (0.6746, 0.6746, 0.2187)  3 O 1.44
O (0.1592, 0.1592, 0.5696)  1 B 1.27
O (0.2014, 0.6177, 0.7653)  1 S 1.44
O (0.2314, 0.2314, 0.9034)  1 S 1.44
O (0.3823, 0.7986, 0.2347)  1 S 1.44
O (0.6177, 0.2014, 0.7653)  1 S 1.44
O (0.7686, 0.7686, 0.0966)  1 S 1.44
O (0.7986, 0.3823, 0.2347)  1 S 1.44
O (0.8408, 0.8408, 0.4304)  1 B 1.27



# 2
Compound: LiPu2TcH6
Source: the Alexandria database
Functional: GGA-PBE
Structure: relaxed

Computed properties:
Density of states at the Fermi level (states/eV/cell): 17.92
Total magnetic moment (μB per cell): 11.9
Raw total energy (eV per atom): -6.41

abc: 5.2209 5.2209 5.2209
angles: 120.08 120.08 89.86
Closest atoms and distances in Å follow each position.
Sites, in units of the cell vectors:
Li (0.0000, 0.0000, 0.0000)  6 H 1.88-1.89
Pu (0.2500, 0.7500, 0.5000)  12 H 2.61
Pu (0.7500, 0.2500, 0.5000)  12 H 2.61
Tc (0.5000, 0.5000, 0.0000)  6 H 1.81
H (0.2553, 0.2553, 0.0000)  1 Tc 1.81, 1 Li 1.89
H (0.2549, 0.2549, 0.5098)  1 Tc 1.81, 1 Li 1.88
H (0.2549, 0.7451, 0.0000)  1 Tc 1.81, 1 Li 1.88
H (0.7451, 0.2549, 0.0000)  1 Tc 1.81, 1 Li 1.88
H (0.7447, 0.7447, 0.0000)  1 Tc 1.81, 1 Li 1.89
H (0.7451, 0.7451, 0.4902)  1 Tc 1.81, 1 Li 1.88



# 3
Compound: Pa5Ta
Source: the Alexandria database
Functional: GGA-PBE
Structure: relaxed

Computed properties:
Density of states at the Fermi level (states/eV/cell): 12.35
Total magnetic moment (μB per cell): 0.0
Raw total energy (eV per atom): -9.80
Formation energy (meV per atom): 92

abc: 8.5214 8.5214 3.1824
angles: 90.00 90.00 142.00
Closest atoms and distances in Å follow each position.
Sites, in units of the cell vectors:
Pa (0.0000, 0.0000, 0.0000)  6 Pa 3.12-3.18, 4 Ta 3.20
Pa (0.1664, 0.8336, 0.5000)  10 Pa 3.12-3.20
Pa (0.3374, 0.6626, 0.0000)  2 Ta 3.06, 8 Pa 3.18-3.20
Pa (0.6626, 0.3374, 0.0000)  2 Ta 3.06, 8 Pa 3.18-3.20
Pa (0.8336, 0.1664, 0.5000)  10 Pa 3.12-3.20
Ta (0.5000, 0.5000, 0.5000)  8 Pa 3.06-3.20, 2 Ta 3.18



# 4
Compound: Re2SeBr
Source: the Alexandria database
Functional: GGA-PBE
Structure: relaxed

Computed properties:
Density of states at the Fermi level (states/eV/cell): 2.43
Uncorrected formation energy (eV per atom): 0.35
Total magnetic moment (μB per cell): 0.0
Raw total energy (eV per atom): -7.16
ΔE to the lowest computed polymorph (meV per atom): 167

abc: 3.1494 3.4834 7.9741
angles: 90.00 100.27 90.00
Closest atoms and distances in Å follow each position.
Sites, in units of the cell vectors:
Re (0.0000, 0.0000, 0.0000)  4 Re 2.51-2.73, 2 Se 2.63
Re (0.4916, 0.5000, 0.8524)  4 Re 2.51-2.73, 1 Se 2.60, 2 Br 2.68
Se (0.6563, 0.5000, 0.1842)  5 Re 2.60-2.89
Br (0.3462, 0.0000, 0.5937)  2 Re 2.68



# 5
Compound: Nd3Au5Se12
Source: the Alexandria database
Functional: GGA-PBE
Structure: relaxed

Computed properties:
Density of states at the Fermi level (states/eV/cell): 50.29
Uncorrected formation energy (eV per atom): -0.58
Total magnetic moment (μB per cell): 0.0
Raw total energy (eV per atom): -4.20

abc: 14.0857 14.0857 14.0857
angles: 109.47 109.47 109.47
Closest atoms and distances in Å follow each position.
Sites, in units of the cell vectors:
Nd (0.1250, 0.2500, 0.3750)  8 Se 3.03-3.13
Nd (0.1250, 0.3750, 0.7500)  8 Se 3.03-3.13
Nd (0.2500, 0.3750, 0.1250)  8 Se 3.03-3.13
Nd (0.2500, 0.8750, 0.6250)  8 Se 3.03-3.13
Nd (0.3750, 0.1250, 0.2500)  8 Se 3.03-3.13
Nd (0.3750, 0.7500, 0.1250)  8 Se 3.03-3.13
Nd (0.6250, 0.2500, 0.8750)  8 Se 3.03-3.13
Nd (0.6250, 0.8750, 0.7500)  8 Se 3.03-3.13
Nd (0.7500, 0.1250, 0.3750)  8 Se 3.03-3.13
Nd (0.7500, 0.6250, 0.8750)  8 Se 3.03-3.13
Nd (0.8750, 0.6250, 0.2500)  8 Se 3.03-3.13
Nd (0.8750, 0.7500, 0.6250)  8 Se 3.03-3.13
Au (0.0000, 0.0000, 0.0000)  6 Se 2.63
Au (0.0000, 0.0000, 0.5000)  6 Se 2.63
Au (0.0000, 0.5000, 0.0000)  6 Se 2.63
Au (0.0000, 0.5000, 0.5000)  6 Se 2.63
Au (0.1250, 0.7500, 0.8750)  4 Se 2.56
Au (0.1250, 0.8750, 0.2500)  4 Se 2.56
Au (0.2500, 0.1250, 0.8750)  4 Se 2.56
Au (0.2500, 0.6250, 0.3750)  4 Se 2.56
Au (0.3750, 0.2500, 0.6250)  4 Se 2.56
Au (0.3750, 0.6250, 0.7500)  4 Se 2.56
Au (0.5000, 0.0000, 0.0000)  6 Se 2.63
Au (0.5000, 0.0000, 0.5000)  6 Se 2.63
Au (0.5000, 0.5000, 0.0000)  6 Se 2.63
Au (0.5000, 0.5000, 0.5000)  6 Se 2.63
Au (0.6250, 0.3750, 0.2500)  4 Se 2.56
Au (0.6250, 0.7500, 0.3750)  4 Se 2.56
Au (0.7500, 0.3750, 0.6250)  4 Se 2.56
Au (0.7500, 0.8750, 0.1250)  4 Se 2.56
Au (0.8750, 0.1250, 0.7500)  4 Se 2.56
Au (0.8750, 0.2500, 0.1250)  4 Se 2.56
Se (0.0399, 0.2089, 0.1291)  2 Au 2.56-2.63
Se (0.0399, 0.3310, 0.9108)  2 Au 2.56-2.63
Se (0.0798, 0.7089, 0.6690)  2 Au 2.56-2.63
Se (0.0798, 0.8709, 0.4108)  2 Au 2.56-2.63
Se (0.0892, 0.6291, 0.4202)  2 Au 2.56-2.63
Se (0.0892, 0.9601, 0.6690)  2 Au 2.56-2.63
Se (0.1291, 0.0399, 0.2089)  2 Au 2.56-2.63
Se (0.1291, 0.5892, 0.9202)  2 Au 2.56-2.63
Se (0.1690, 0.2089, 0.5798)  2 Au 2.56-2.63
Se (0.1690, 0.4601, 0.5892)  2 Au 2.56-2.63
Se (0.2089, 0.1291, 0.0399)  2 Au 2.56-2.63
Se (0.2089, 0.5798, 0.1690)  2 Au 2.56-2.63
Se (0.2911, 0.3310, 0.9202)  2 Au 2.56-2.63
Se (0.2911, 0.4601, 0.3709)  2 Au 2.56-2.63
Se (0.3310, 0.9108, 0.0399)  2 Au 2.56-2.63
Se (0.3310, 0.9202, 0.2911)  2 Au 2.56-2.63
Se (0.3709, 0.2911, 0.4601)  2 Au 2.56-2.63
Se (0.3709, 0.5798, 0.9108)  2 Au 2.56-2.63
Se (0.4108, 0.0798, 0.8709)  2 Au 2.56-2.63
Se (0.4108, 0.8310, 0.5399)  2 Au 2.56-2.63
Se (0.4202, 0.0892, 0.6291)  2 Au 2.56-2.63
Se (0.4202, 0.8310, 0.7911)  2 Au 2.56-2.63
Se (0.4601, 0.3709, 0.2911)  2 Au 2.56-2.63
Se (0.4601, 0.5892, 0.1690)  2 Au 2.56-2.63
Se (0.5399, 0.4108, 0.8310)  2 Au 2.56-2.63
Se (0.5399, 0.6291, 0.7089)  2 Au 2.56-2.63
Se (0.5798, 0.1690, 0.2089)  2 Au 2.56-2.63
Se (0.5798, 0.9108, 0.3709)  2 Au 2.56-2.63
Se (0.5892, 0.1690, 0.4601)  2 Au 2.56-2.63
Se (0.5892, 0.9202, 0.1291)  2 Au 2.56-2.63
Se (0.6291, 0.4202, 0.0892)  2 Au 2.56-2.63
Se (0.6291, 0.7089, 0.5399)  2 Au 2.56-2.63
Se (0.6690, 0.0798, 0.7089)  2 Au 2.56-2.63
Se (0.6690, 0.0892, 0.9601)  2 Au 2.56-2.63
Se (0.7089, 0.5399, 0.6291)  2 Au 2.56-2.63
Se (0.7089, 0.6690, 0.0798)  2 Au 2.56-2.63
Se (0.7911, 0.4202, 0.8310)  2 Au 2.56-2.63
Se (0.7911, 0.8709, 0.9601)  2 Au 2.56-2.63
Se (0.8310, 0.5399, 0.4108)  2 Au 2.56-2.63
Se (0.8310, 0.7911, 0.4202)  2 Au 2.56-2.63
Se (0.8709, 0.4108, 0.0798)  2 Au 2.56-2.63
Se (0.8709, 0.9601, 0.7911)  2 Au 2.56-2.63
Se (0.9108, 0.0399, 0.3310)  2 Au 2.56-2.63
Se (0.9108, 0.3709, 0.5798)  2 Au 2.56-2.63
Se (0.9202, 0.1291, 0.5892)  2 Au 2.56-2.63
Se (0.9202, 0.2911, 0.3310)  2 Au 2.56-2.63
Se (0.9601, 0.6690, 0.0892)  2 Au 2.56-2.63
Se (0.9601, 0.7911, 0.8709)  2 Au 2.56-2.63



# 6
Compound: HoErPa
Source: the Alexandria database
Functional: GGA-PBE
Structure: relaxed

Computed properties:
Density of states at the Fermi level (states/eV/cell): 5.33
Total magnetic moment (μB per cell): 0.1
Raw total energy (eV per atom): -6.07
Formation energy (meV per atom): 142
ΔE to the lowest computed polymorph (meV per atom): 34

abc: 7.8510 7.8510 7.8510
angles: 155.05 155.05 35.57
Closest atoms and distances in Å follow each position.
Sites, in units of the cell vectors:
Ho (0.0000, 0.0000, 0.0000)  4 Pa 3.37, 4 Ho 3.39, 4 Er 3.66
Er (0.3153, 0.3153, 0.0000)  4 Pa 3.36, 4 Er 3.39, 4 Ho 3.66
Pa (0.6580, 0.6580, 0.0000)  4 Er 3.36, 4 Ho 3.37, 4 Pa 3.39



# 7
Compound: MnNCl2
Source: the Alexandria database
Functional: GGA-PBE
Structure: relaxed

Computed properties:
Density of states at the Fermi level (states/eV/cell): 0.00
Uncorrected formation energy (eV per atom): 0.53
Total magnetic moment (μB per cell): 16.0
Raw total energy (eV per atom): -4.77
ΔE to the lowest computed polymorph (meV per atom): 41

abc: 6.9514 6.9514 6.9514
angles: 117.58 117.58 94.24
Closest atoms and distances in Å follow each position.
Sites, in units of the cell vectors:
Mn (0.0000, 0.0000, 0.0000)  4 Cl 2.38
Mn (0.7500, 0.2500, 0.5000)  4 Cl 2.38
N (0.2500, 0.7500, 0.5000)  4 Cl 3.37
N (0.5000, 0.5000, 0.0000)  4 Cl 3.37
Cl (0.0158, 0.6250, 0.8908)  2 Mn 2.38
Cl (0.3750, 0.2658, 0.3908)  2 Mn 2.38
Cl (0.7342, 0.1250, 0.1092)  2 Mn 2.38
Cl (0.8750, 0.9842, 0.6092)  2 Mn 2.38



# 8
Compound: Cu7Pd3Pt2
Source: the Alexandria database
Functional: GGA-PBE
Structure: relaxed

Computed properties:
Density of states at the Fermi level (states/eV/cell): 5.89
Total magnetic moment (μB per cell): 0.0
Raw total energy (eV per atom): -4.66
Formation energy (meV per atom): 34
ΔE to the lowest computed polymorph (meV per atom): 31

abc: 11.3775 11.3775 3.8720
angles: 90.00 90.00 159.57
Closest atoms and distances in Å follow each position.
Sites, in units of the cell vectors:
Cu (0.0000, 0.0000, 0.0000)  8 Cu 2.57-2.63, 4 Pd 2.80
Cu (0.0752, 0.9248, 0.5000)  6 Cu 2.57-2.80, 4 Pd 2.63-2.66, 2 Pt 2.64
Cu (0.2740, 0.7260, 0.0000)  2 Cu 2.29, 2 Pd 2.54
Cu (0.4244, 0.5756, 0.0000)  4 Pd 2.57-2.59, 6 Cu 2.63-2.80, 2 Pt 2.69
Cu (0.5756, 0.4244, 0.0000)  4 Pd 2.57-2.59, 6 Cu 2.63-2.80, 2 Pt 2.69
Cu (0.7260, 0.2740, 0.0000)  2 Cu 2.29, 2 Pd 2.54
Cu (0.9248, 0.0752, 0.5000)  6 Cu 2.57-2.80, 4 Pd 2.63-2.66, 2 Pt 2.64
Pd (0.3477, 0.6523, 0.5000)  6 Cu 2.54-2.66, 4 Pt 2.80
Pd (0.5000, 0.5000, 0.5000)  12 Cu 2.57-2.80
Pd (0.6523, 0.3477, 0.5000)  6 Cu 2.54-2.66, 4 Pt 2.80
Pt (0.1553, 0.8447, 0.0000)  7 Cu 2.57-2.69, 4 Pd 2.80
Pt (0.8447, 0.1553, 0.0000)  7 Cu 2.57-2.69, 4 Pd 2.80



# 9
Compound: Hf2PbN
Source: the Alexandria database
Functional: GGA-PBE
Structure: relaxed

Computed properties:
Density of states at the Fermi level (states/eV/cell): 4.80
Uncorrected formation energy (eV per atom): 0.67
Total magnetic moment (μB per cell): 0.0
Raw total energy (eV per atom): -7.31

abc: 4.7105 4.7105 4.7105
angles: 60.00 60.00 60.00
Closest atoms and distances in Å follow each position.
Sites, in units of the cell vectors:
Hf (0.2500, 0.2500, 0.2500)  4 N 2.88, 4 Pb 2.88
Hf (0.7500, 0.7500, 0.7500)  4 N 2.88, 4 Pb 2.88
Pb (0.0000, 0.0000, 0.0000)  8 Hf 2.88
N (0.5000, 0.5000, 0.5000)  8 Hf 2.88



# 10
Compound: Pm2In5Ag3
Source: the Alexandria database
Functional: GGA-PBE
Structure: relaxed

Computed properties:
Density of states at the Fermi level (states/eV/cell): 6.96
Total magnetic moment (μB per cell): 0.0
Raw total energy (eV per atom): -3.45
Formation energy (meV per atom): -274

abc: 9.3386 9.3386 9.3386
angles: 100.03 93.59 139.76
Closest atoms and distances in Å follow each position.
Sites, in units of the cell vectors:
Pm (0.1312, 0.2415, 0.3727)  8 In 3.32-3.71, 4 Ag 3.41-3.60
Pm (0.3688, 0.7415, 0.1103)  8 In 3.32-3.71, 4 Ag 3.41-3.60
Pm (0.6312, 0.2585, 0.8897)  8 In 3.32-3.71, 4 Ag 3.41-3.60
Pm (0.8688, 0.7585, 0.6273)  8 In 3.32-3.71, 4 Ag 3.41-3.60
In (0.0093, 0.7500, 0.2593)  3 Ag 2.79-3.08, 2 In 2.95
In (0.1082, 0.6507, 0.7589)  3 Ag 2.63-2.79
In (0.2500, 0.2500, 0.0000)  4 Ag 2.80
In (0.3918, 0.1507, 0.5426)  3 Ag 2.63-2.79
In (0.4907, 0.7500, 0.7407)  3 Ag 2.79-3.08, 2 In 2.95
In (0.5093, 0.2500, 0.2593)  3 Ag 2.79-3.08, 2 In 2.95
In (0.6082, 0.8493, 0.4574)  3 Ag 2.63-2.79
In (0.7500, 0.7500, 0.0000)  4 Ag 2.80
In (0.8918, 0.3493, 0.2411)  3 Ag 2.63-2.79
In (0.9907, 0.2500, 0.7407)  3 Ag 2.79-3.08, 2 In 2.95
Ag (0.1306, 0.8686, 0.9992)  5 In 2.63-2.80
Ag (0.2500, 0.7500, 0.5000)  6 In 2.79-3.08
Ag (0.3694, 0.3686, 0.7381)  5 In 2.63-2.80
Ag (0.6306, 0.6314, 0.2619)  5 In 2.63-2.80
Ag (0.7500, 0.2500, 0.5000)  6 In 2.79-3.08
Ag (0.8694, 0.1314, 0.0008)  5 In 2.63-2.80



# 11
Compound: CsGeSbTe2
Source: the Alexandria database
Functional: GGA-PBE
Structure: relaxed

Computed properties:
Density of states at the Fermi level (states/eV/cell): 7.11
Uncorrected formation energy (eV per atom): 1.41
Total magnetic moment (μB per cell): 1.3
Raw total energy (eV per atom): -1.77
ΔE to the lowest computed polymorph (meV per atom): 1414

abc: 6.3835 6.3835 6.2552
angles: 90.00 90.00 90.00
Closest atoms and distances in Å follow each position.
Sites, in units of the cell vectors:
Cs (0.0000, 0.0000, 0.0000)  2 Sb 3.13, 4 Te 3.19
Ge (0.5000, 0.5000, 0.5000)  8 Te 4.47, 4 Sb 4.51
Sb (0.0000, 0.0000, 0.5000)  2 Cs 3.13
Te (0.0000, 0.5000, 0.0000)  2 Cs 3.19
Te (0.5000, 0.0000, 0.0000)  2 Cs 3.19